Below is a relaxed structure of Cs2ScCoF6, with properties calculated at the PBE+U level.

density	4.18	g/cm3
total magnetization	2.00	Bohr magnetons per cell
E_tot	-5.3074	eV per atom
space-group type	I4/mmm (139)
V	19.2	A^3/atom

Cell lengths 6.992, 6.992, 6.992 Å; angles 130.68, 130.68, 72.32 degrees
Sites, in units of the cell vectors:
Cs (0.250, 0.750, 0.500)
Cs (0.750, 0.250, 0.500)
Sc (0.000, 0.000, 0.000)
Co (0.500, 0.500, 0.000)
F (0.179, 0.179, 0.000)
F (0.249, 0.249, 0.499)
F (0.249, 0.751, 0.000)
F (0.751, 0.249, 0.000)
F (0.751, 0.751, 0.501)
F (0.821, 0.821, 0.000)